Material: ScCrNO2
Method: DFT, GGA+U
State: optimized geometry

a b c (Å): 3.960 3.960 4.210
angles (deg): 90.00 90.00 90.00
Atoms (fractional coordinates):
Sc: 0.000 0.000 0.000
Cr: 0.500 0.500 0.500
N: 0.000 0.000 0.500
O: 0.000 0.500 0.000
O: 0.500 0.000 0.000

electronic total energy: -6.601 eV per atom
space group: P4/mmm